P | Density functional theory data (GGA-PBE) for a relaxed Tb7HoTh2 crystal.

Calculated values
Crystal system: orthorhombic
N(E_F), states/eV per atom: 1.49
Total magnetic moment, μB/cell: 0.00

Unit cell a=11.981 b=16.651 c=3.492 alpha=90.00 beta=90.00 gamma=90.00
Space group Cmmm (No. 65)
Inequivalent atoms, fractional coordinates:
Tb 0.000 0.000 0.000 (multiplicity 2)
Tb 0.000 0.169 0.500 (multiplicity 4)
Tb 0.243 0.127 0.000 (multiplicity 8)
Ho 0.000 0.500 0.500 (multiplicity 2)
Th 0.000 0.327 0.000 (multiplicity 4)

Q | Density functional theory data (GGA-PBE) for a relaxed Tb7HoTh2 crystal.

Calculated values
Crystal system: orthorhombic
N(E_F), states/eV per atom: 1.50
Total magnetic moment, μB/cell: 0.00

Unit cell a=8.714 b=16.634 c=5.514 alpha=90.00 beta=90.00 gamma=90.00
Space group Cmmm (No. 65)
Inequivalent atoms, fractional coordinates:
Tb 0.000 0.000 0.000 (multiplicity 2)
Tb 0.000 0.290 0.500 (multiplicity 4)
Tb 0.176 0.390 0.000 (multiplicity 8)
Ho 0.000 0.500 0.500 (multiplicity 2)
Th 0.000 0.205 0.000 (multiplicity 4)

P is favored, and the nearest alternative lies 0.306 eV/atom above it.

P | Density functional theory data (GGA-PBE) for a relaxed Tb6Ho12Th crystal.

Calculated values
Crystal system: trigonal
N(E_F), states/eV per atom: 1.67
Total magnetic moment, μB/cell: 0.00

Unit cell a=11.8797 b=11.8797 c=15.0399 alpha=90.00 beta=90.00 gamma=120.00
Space group R-3 (No. 148, hexagonal axes)
Inequivalent atoms, fractional coordinates:
Tb 0.0105 0.5876 0.1775 (multiplicity 18)
Ho 0.0217 0.1805 0.6898 (multiplicity 18)
Ho 0.0425 0.1887 0.9149 (multiplicity 18)
Th 0.0000 0.0000 0.5000 (multiplicity 3)

Q | Density functional theory data (GGA-PBE) for a relaxed Tb6Ho12Th crystal.

Calculated values
Crystal system: trigonal
N(E_F), states/eV per atom: 1.84
Total magnetic moment, μB/cell: 0.01

Unit cell a=13.2655 b=13.2655 c=12.2180 alpha=90.00 beta=90.00 gamma=120.00
Space group R-3m (No. 166, hexagonal axes)
Inequivalent atoms, fractional coordinates:
Tb 0.0387 0.5193 0.1242 (multiplicity 18)
Ho 0.0000 0.2564 0.0000 (multiplicity 18)
Ho 0.0902 0.1804 0.7572 (multiplicity 18)
Th 0.0000 0.0000 0.5000 (multiplicity 3)

P is favored, and the nearest alternative lies 0.074 eV/atom above it.

P | Density functional theory data (GGA-PBE) for a relaxed Tb4Ho5Th crystal.

Calculated values
Crystal system: monoclinic
N(E_F), states/eV per atom: 1.45
Total magnetic moment, μB/cell: 0.00

Unit cell a=17.471 b=3.558 c=11.068 alpha=90.00 beta=101.47 gamma=90.00
Space group C2/m (No. 12)
Inequivalent atoms, fractional coordinates:
Tb 0.017 0.000 0.258 (multiplicity 4)
Tb 0.178 0.500 0.223 (multiplicity 4)
Ho 0.000 0.500 0.500 (multiplicity 2)
Ho 0.162 0.000 0.932 (multiplicity 4)
Ho 0.168 0.000 0.516 (multiplicity 4)
Th 0.000 0.500 0.000 (multiplicity 2)

Q | Density functional theory data (GGA-PBE) for a relaxed Tb4Ho5Th crystal.

Calculated values
Crystal system: tetragonal
N(E_F), states/eV per atom: 1.48
Total magnetic moment, μB/cell: 0.00

Unit cell a=10.168 b=10.168 c=6.328 alpha=90.00 beta=90.00 gamma=90.00
Space group I4 (No. 79)
Inequivalent atoms, fractional coordinates:
Tb 0.049 0.654 0.000 (multiplicity 8)
Ho 0.000 0.000 0.242 (multiplicity 2)
Ho 0.145 0.768 0.501 (multiplicity 8)
Th 0.000 0.000 0.776 (multiplicity 2)

P is favored, and the nearest alternative lies 0.101 eV/atom above it.

P | Density functional theory data (GGA-PBE) for a relaxed Tb8Ho3Th2 crystal.

Calculated values
Crystal system: monoclinic
N(E_F), states/eV per atom: 1.74
Total magnetic moment, μB/cell: 0.00

Unit cell a=20.720 b=7.381 c=5.654 alpha=90.00 beta=90.02 gamma=90.00
Space group C2/m (No. 12)
Inequivalent atoms, fractional coordinates:
Tb 0.108 0.216 0.000 (multiplicity 8)
Tb 0.138 0.500 0.500 (multiplicity 4)
Tb 0.168 0.000 0.500 (multiplicity 4)
Ho 0.000 0.225 0.500 (multiplicity 4)
Ho 0.000 0.500 0.000 (multiplicity 2)
Th 0.245 0.500 0.000 (multiplicity 4)

Q | Density functional theory data (GGA-PBE) for a relaxed Tb8Ho3Th2 crystal.

Calculated values
Crystal system: triclinic
N(E_F), states/eV per atom: 1.42
Total magnetic moment, μB/cell: 0.00

Unit cell a=6.147 b=7.645 c=18.615 alpha=86.10 beta=81.08 gamma=77.55
Space group P-1 (No. 2)
Inequivalent atoms, fractional coordinates:
Tb 0.001 0.020 0.322 (multiplicity 2)
Tb 0.112 0.555 0.076 (multiplicity 2)
Tb 0.113 0.532 0.739 (multiplicity 2)
Tb 0.232 0.095 0.815 (multiplicity 2)
Tb 0.335 0.660 0.887 (multiplicity 2)
Tb 0.370 0.648 0.561 (multiplicity 2)
Tb 0.446 0.217 0.963 (multiplicity 2)
Tb 0.449 0.178 0.614 (multiplicity 2)
Ho 0.000 0.000 0.000 (multiplicity 1)
Ho 0.000 0.000 0.500 (multiplicity 1)
Ho 0.333 0.684 0.227 (multiplicity 2)
Ho 0.432 0.243 0.290 (multiplicity 2)
Th 0.089 0.567 0.414 (multiplicity 2)
Th 0.220 0.119 0.147 (multiplicity 2)

Q is favored, and the nearest alternative lies 0.157 eV/atom above it.

P | Density functional theory data (GGA-PBE) for a relaxed TbHo2Th2 crystal.

Calculated values
Crystal system: monoclinic
N(E_F), states/eV per atom: 1.31
Total magnetic moment, μB/cell: 0.00

Unit cell a=14.591 b=7.106 c=6.185 alpha=90.00 beta=98.20 gamma=90.00
Space group P2_1/c (No. 14)
Inequivalent atoms, fractional coordinates:
Tb 0.198 0.127 0.150 (multiplicity 4)
Ho 0.197 0.623 0.148 (multiplicity 4)
Ho 0.402 0.625 0.550 (multiplicity 4)
Th 0.001 0.624 0.748 (multiplicity 4)
Th 0.402 0.129 0.550 (multiplicity 4)

Q | Density functional theory data (GGA-PBE) for a relaxed TbHo2Th2 crystal.

Calculated values
Crystal system: orthorhombic
N(E_F), states/eV per atom: 1.65
Total magnetic moment, μB/cell: 0.00

Unit cell a=3.480 b=16.711 c=23.120 alpha=90.00 beta=90.00 gamma=90.00
Space group Fddd (No. 70, origin choice 2)
Inequivalent atoms, fractional coordinates:
Tb 0.125 0.125 0.125 (multiplicity 8)
Ho 0.125 0.294 0.625 (multiplicity 16)
Th 0.000 0.000 0.000 (multiplicity 16)

P is favored, and the nearest alternative lies 0.414 eV/atom above it.